Entry from Alexandria via LeMat-Bulk: PmNd2Sm6Y after structural relaxation (PBE).

- Formation enthalpy at 0 K: 1.15 eV/f.u.

Cell lengths 9.1555, 15.3888, 9.8793 Å; angles 90.00, 98.79, 90.00 degrees
Space group C2/c (No. 15)
Asymmetric unit:
Pm 0.0000 0.0934 0.2500 x4
Nd 0.2432 0.4469 0.0413 x8
Sm 0.0637 0.3121 0.4440 x8
Sm 0.1057 0.1033 0.6206 x8
Sm 0.1999 0.2765 0.8124 x8
Y 0.0000 0.4812 0.7500 x4